First-principles (PBE-GGA) data for a relaxed structure of MgFe, as listed in Alexandria.

Lattice parameters (Å, degrees): 7.662 7.662 4.076 90.00 90.00 120.00
Fractional positions:
1 Mg 0.818 0.635 0.250
2 Mg 0.182 0.818 0.750
3 Mg 0.365 0.182 0.250
4 Mg 0.182 0.365 0.750
5 Mg 0.818 0.182 0.250
6 Mg 0.635 0.818 0.750
7 Fe 0.441 0.882 0.250
8 Fe 0.559 0.441 0.750
9 Fe 0.118 0.559 0.250
10 Fe 0.559 0.118 0.750
11 Fe 0.441 0.559 0.250
12 Fe 0.882 0.441 0.750

Summary:
ΔE_f = 0.2536 eV per atom
Magnetic moment = 2.1 μB/f.u.
VASP energy = -4.78 eV/atom
SG = P6_3/mmc